TaP2Pb | PBE | relaxed

* energy: -22.9 eV for the cell shown
* D(E_F): 3.7 states/eV/cell
* V: 18.8 A^3/atom
* SG: F-43m, No. 216
* formation energy from the elements: 0.87 eV per atom

abc: 4.742 4.742 4.742
angles: 60.00 60.00 60.00
Fractional coordinates of all 4 atoms:
Ta 0.750 0.750 0.750
Pb 0.500 0.500 0.500
P 0.000 0.000 0.000
P 0.250 0.250 0.250